[1]
Below is an optimized crystal structure of LaCrAsSe2, with properties calculated at the PBE level.

a = 5.015 Å, b = 5.015 Å, c = 4.641 Å
α = 90.00°, β = 90.00°, γ = 90.00°
Space group P4/mmm (No. 123)
Unique sites:
La 0.000 0.000 0.000 x1
Cr 0.500 0.500 0.500 x1
As 0.500 0.500 0.000 x1
Se 0.000 0.500 0.500 x2

Output
* energy relative to the elements, uncorrected: -0.761 eV per atom


[2]
Below is an optimized crystal structure of Tb6NiSb3, with properties calculated at the PBE level.

a = 11.282 Å, b = 14.753 Å, c = 7.233 Å
α = 90.00°, β = 90.00°, γ = 90.00°
Space group Cmc2_1 (No. 36)
Unique sites:
Tb 0.000 0.010 0.000 x4
Tb 0.000 0.248 0.926 x4
Tb 0.160 0.258 0.413 x8
Tb 0.176 0.457 0.883 x8
Ni 0.000 0.147 0.246 x4
Sb 0.000 0.406 0.581 x4
Sb 0.177 0.109 0.717 x8

Output
* energy relative to the elements, uncorrected: -0.571 eV per atom